Record 1
Below is a relaxed Ba2OsPbSe6 crystal, with properties calculated at the PBE level.

abc: 12.402 6.545 8.359
angles: 90.00 122.80 90.00
Space group C2/m (No. 12)
Inequivalent atoms, fractional coordinates:
Ba  0.224  0.000  0.251
Os  0.000  0.500  0.000
Pb  0.000  0.000  0.500
Se  0.070  0.248  0.849
Se  0.221  0.500  0.314

Values from the calculation:
Total magnetic moment   0.01 Bohr magnetons per cell
ΔE to the lowest computed polymorph   0.053 eV/f.u.

---

Record 2
Below is a relaxed BaOsPd crystal, with properties calculated at the PBE level.

abc: 6.788 6.788 6.788
angles: 90.00 90.00 90.00
Space group F-43m (No. 216)
Inequivalent atoms, fractional coordinates:
Ba  0.000  0.000  0.000
Os  0.250  0.250  0.250
Pd  0.000  0.000  0.500

Values from the calculation:
Total magnetic moment   8.00 Bohr magnetons per cell
ΔE to the lowest computed polymorph   0.000 eV/f.u.

---

Record 3
Below is a relaxed BaOsPd crystal, with properties calculated at the PBE level.

abc: 6.886 6.886 6.886
angles: 90.00 90.00 90.00
Space group F-43m (No. 216)
Inequivalent atoms, fractional coordinates:
Ba  0.000  0.000  0.000
Os  0.250  0.250  0.750
Pd  0.250  0.250  0.250

Values from the calculation:
Total magnetic moment   7.99 Bohr magnetons per cell
ΔE to the lowest computed polymorph   1.946 eV/f.u.

---

Record 4
Below is a relaxed BaPrOs crystal, with properties calculated at the PBE level.

abc: 7.197 7.197 7.197
angles: 90.00 90.00 90.00
Space group F-43m (No. 216)
Inequivalent atoms, fractional coordinates:
Ba  0.000  0.000  0.000
Pr  0.000  0.000  0.500
Os  0.250  0.250  0.250

Values from the calculation:
Total magnetic moment   0.01 Bohr magnetons per cell
ΔE to the lowest computed polymorph   0.000 eV/f.u.

---

Record 5
Below is a relaxed Ba2PrOsS6 crystal, with properties calculated at the PBE level.

abc: 12.294 7.061 7.297
angles: 90.00 125.18 90.00
Space group C2/m (No. 12)
Inequivalent atoms, fractional coordinates:
Ba  0.247  0.000  0.240
Pr  0.000  0.000  0.500
Os  0.000  0.500  0.000
S  0.038  0.265  0.811
S  0.229  0.500  0.300

Values from the calculation:
Total magnetic moment   5.39 Bohr magnetons per cell
Final energy   -5.714 eV per atom

---

Record 6
Below is a relaxed Ba2PrOsS6 crystal, with properties calculated at the PBE level.

abc: 7.059 7.059 10.353
angles: 90.00 90.00 90.00
Space group I4/m (No. 87)
Inequivalent atoms, fractional coordinates:
Ba  0.000  0.500  0.250
Pr  0.000  0.000  0.000
Os  0.000  0.000  0.500
S  0.000  0.000  0.269
S  0.172  0.288  0.500

Values from the calculation:
Total magnetic moment   5.45 Bohr magnetons per cell
Final energy   -5.714 eV per atom

---

Record 7
Below is a relaxed Ba2PrOsS6 crystal, with properties calculated at the PBE level.

abc: 7.047 7.064 7.138
angles: 61.37 61.88 60.78
Space group P-1 (No. 2)
Inequivalent atoms, fractional coordinates:
Ba  0.247  0.250  0.259
Pr  0.000  0.000  0.000
Os  0.500  0.500  0.500
S  0.227  0.310  0.699
S  0.241  0.782  0.680
S  0.342  0.720  0.200

Values from the calculation:
Total magnetic moment   2.71 Bohr magnetons per cell
Final energy   -5.714 eV per atom

---

Record 8
Below is a relaxed Ba3Os2Pt2 crystal, with properties calculated at the PBE level.

abc: 4.5668 4.5668 30.2539
angles: 90.00 90.00 120.00
Space group R3m (No. 160, hexagonal axes)
Inequivalent atoms, fractional coordinates:
Ba  0.0000  0.0000  0.0000
Ba  0.0000  0.0000  0.2346
Ba  0.0000  0.0000  0.7385
Os  0.0000  0.0000  0.4911
Os  0.0000  0.0000  0.8324
Pt  0.0000  0.0000  0.1306
Pt  0.0000  0.0000  0.6234

Values from the calculation:
Total magnetic moment   2.09 Bohr magnetons per cell
Final energy   -5.673 eV per atom

---

Record 9
Below is a relaxed RbBaOs crystal, with properties calculated at the PBE level.

abc: 7.653 7.653 7.653
angles: 90.00 90.00 90.00
Space group F-43m (No. 216)
Inequivalent atoms, fractional coordinates:
Rb  0.000  0.000  0.000
Ba  0.000  0.000  0.500
Os  0.250  0.250  0.750

Values from the calculation:
Total magnetic moment   4.00 Bohr magnetons per cell
ΔE to the lowest computed polymorph   0.000 eV/f.u.

---

Record 10
Below is a relaxed Ba2Re2Os3 crystal, with properties calculated at the PBE level.

abc: 4.9005 4.9005 21.2693
angles: 90.00 90.00 120.00
Space group R3m (No. 160, hexagonal axes)
Inequivalent atoms, fractional coordinates:
Ba  0.0000  0.0000  0.0000
Ba  0.0000  0.0000  0.4477
Re  0.0000  0.0000  0.2026
Re  0.0000  0.0000  0.7083
Os  0.0000  0.0000  0.3094
Os  0.0000  0.0000  0.5834
Os  0.0000  0.0000  0.8306

Values from the calculation:
Total magnetic moment   0.00 Bohr magnetons per cell
Final energy   -7.408 eV per atom

---

Record 11
Below is a relaxed BaOsS3 crystal, with properties calculated at the PBE level.

abc: 5.860 6.690 11.483
angles: 90.00 90.00 90.00
Space group Pnma (No. 62)
Inequivalent atoms, fractional coordinates:
Ba  0.237  0.250  0.087
Os  0.066  0.250  0.750
S  0.181  0.507  0.334
S  0.182  0.750  0.086

Values from the calculation:
Total magnetic moment   0.02 Bohr magnetons per cell
Final energy   -6.023 eV per atom

---

Record 12
Below is a relaxed BaOsS crystal, with properties calculated at the PBE level.

abc: 11.034 3.444 7.776
angles: 90.00 90.05 90.00
Space group Cm (No. 8)
Inequivalent atoms, fractional coordinates:
Ba  0.000  0.000  0.000
Ba  0.076  0.000  0.500
Os  0.287  0.000  0.815
Os  0.289  0.500  0.315
S  0.271  0.000  0.113
S  0.305  0.500  0.613

Values from the calculation:
Total magnetic moment   0.01 Bohr magnetons per cell
Final energy   -5.791 eV per atom

---

Question: total magnetic moment of number 12 (BaOsS)?
Answer: 0.01 Bohr magnetons per cell

---

Copy entry 4 word for word.
Below is a relaxed BaPrOs crystal, with properties calculated at the PBE level.

abc: 7.197 7.197 7.197
angles: 90.00 90.00 90.00
Space group F-43m (No. 216)
Inequivalent atoms, fractional coordinates:
Ba  0.000  0.000  0.000
Pr  0.000  0.000  0.500
Os  0.250  0.250  0.250

Values from the calculation:
Total magnetic moment   0.01 Bohr magnetons per cell
ΔE to the lowest computed polymorph   0.000 eV/f.u.

---

Question: Number 9 is which compound?
Answer: RbBaOs

---

Question: Which value of total magnetic moment does entry 8 give?
Answer: 2.09 Bohr magnetons per cell